(1)
A plane-wave DFT calculation with PBE was carried out for a relaxed structure of Ce5Os2.

a = 6.282 Å, b = 7.129 Å, c = 8.730 Å
α = 96.10°, β = 111.09°, γ = 90.00°
Site moments in Bohr magnetons follow the coordinates.
Fractional coordinates of all 14 atoms:
Ce: 0.205 0.421 0.181  0.50
Ce: 0.799 0.319 0.440  0.47
Ce: 0.024 0.079 0.819  0.50
Ce: 0.642 0.819 0.440  0.47
Ce: 0.976 0.921 0.181  0.50
Ce: 0.201 0.681 0.560  0.47
Ce: 0.599 0.250 0.000  0.31
Ce: 0.358 0.181 0.560  0.47
Ce: 0.795 0.579 0.819  0.50
Ce: 0.401 0.750 0.000  0.31
Os: 0.804 0.585 0.221  -0.06
Os: 0.196 0.415 0.779  -0.06
Os: 0.583 0.915 0.779  -0.06
Os: 0.417 0.085 0.221  -0.06

Properties
Final energy in eV for the cell shown: -106.344
Calculated formation energy in meV/atom: -149

(2)
A plane-wave DFT calculation with PBE was carried out for a relaxed structure of K4Tm3MnTe8.

a = 8.784 Å, b = 9.675 Å, c = 8.784 Å
α = 117.00°, β = 120.00°, γ = 90.00°
Site moments in Bohr magnetons follow the coordinates.
Fractional coordinates of all 16 atoms:
Te: 0.253 0.302 0.027  -0.03
Te: 0.264 0.292 0.528  0.00
Te: 0.736 0.708 0.472  0.00
Te: 0.226 0.698 0.973  -0.03
Te: 0.774 0.302 0.549  -0.03
Te: 0.774 0.302 0.027  -0.03
Te: 0.226 0.698 0.451  -0.03
Te: 0.747 0.698 0.973  -0.03
Tm: 0.000 0.500 0.500  0.02
Tm: 0.500 0.500 0.000  0.02
Tm: 0.500 0.500 0.500  0.02
K: 0.000 0.000 0.500  0.00
K: 0.000 0.000 0.000  0.00
K: 0.500 0.000 0.000  0.00
K: 0.500 0.000 0.500  0.00
Mn: 0.000 0.500 0.000  3.95

Properties
Final energy in eV for the cell shown: -70.121
Formation energy (no corrections) in meV per atom: -1125.8

(3)
A plane-wave DFT calculation with PBE was carried out for a relaxed structure of CeTh2Ge.

a = 3.851 Å, b = 3.851 Å, c = 9.738 Å
α = 78.60°, β = 78.60°, γ = 60.00°
Site moments in Bohr magnetons follow the coordinates.
Fractional coordinates of all 4 atoms:
Ge: 0.000 0.000 0.000  0.00
Th: 0.735 0.735 0.795  -0.01
Th: 0.265 0.265 0.205  -0.01
Ce: 0.500 0.500 0.500  0.34

Properties
ΔE to the lowest computed polymorph in meV/atom: 177
Final energy in eV for the cell shown: -25.836
Calculated formation energy in meV/atom: -111

(4)
A plane-wave DFT calculation with PBE was carried out for a relaxed structure of Pm4NdHo2.

a = 6.190 Å, b = 6.655 Å, c = 11.804 Å
α = 90.00°, β = 105.67°, γ = 90.00°
Fractional coordinates of all 14 atoms:
Nd: 0.838 0.250 0.847
Nd: 0.162 0.750 0.153
Pm: 0.991 0.250 0.149
Pm: 0.853 0.250 0.558
Pm: 0.647 0.500 0.287
Pm: 0.647 0.000 0.287
Pm: 0.147 0.750 0.442
Pm: 0.353 0.500 0.713
Pm: 0.353 0.000 0.713
Pm: 0.009 0.750 0.851
Ho: 0.599 0.750 0.999
Ho: 0.292 0.250 0.436
Ho: 0.401 0.250 0.001
Ho: 0.708 0.750 0.564

Properties
ΔE to the lowest computed polymorph in meV/atom: 62
Final energy in eV for the cell shown: -64.160
Calculated formation energy in meV/atom: 121

(5)
A plane-wave DFT calculation with PBE was carried out for a relaxed structure of LiY2Te6Pb3.

a = 4.441 Å, b = 9.174 Å, c = 10.167 Å
α = 104.51°, β = 102.61°, γ = 90.00°
Fractional coordinates of all 12 atoms:
Te: 0.993 0.761 0.987
Te: 0.671 0.584 0.342
Te: 0.669 0.106 0.338
Te: 0.007 0.239 0.013
Te: 0.329 0.416 0.658
Te: 0.331 0.894 0.662
Y: 0.834 0.657 0.667
Y: 0.166 0.343 0.333
Pb: 0.841 0.152 0.682
Pb: 0.159 0.848 0.318
Pb: 0.500 0.500 0.000
Li: 0.500 0.000 0.000

Properties
Final energy in eV for the cell shown: -54.377
Formation energy (no corrections) in meV per atom: -796.7

(6)
A plane-wave DFT calculation with PBE was carried out for a relaxed structure of Ba2TaTe.

a = 9.206 Å, b = 9.206 Å, c = 7.412 Å
α = 51.61°, β = 51.61°, γ = 90.00°
Site moments in Bohr magnetons follow the coordinates.
Fractional coordinates of all 8 atoms:
Ba: 0.375 0.370 0.750  0.07
Ba: 0.630 0.125 0.250  0.06
Ba: 0.120 0.625 0.250  0.06
Ba: 0.875 0.880 0.750  0.06
Te: 0.500 0.500 0.000  0.01
Te: 0.250 0.750 0.500  0.01
Ta: 0.000 0.000 0.000  1.72
Ta: 0.750 0.250 0.500  1.73

Properties
Final energy in eV for the cell shown: -33.403
Formation energy (no corrections) in meV per atom: 534.6

(7)
A plane-wave DFT calculation with PBE was carried out for a relaxed structure of TaMn2Be.

a = 6.495 Å, b = 6.495 Å, c = 5.205 Å
α = 51.40°, β = 51.40°, γ = 90.00°
Site moments in Bohr magnetons follow the coordinates.
Fractional coordinates of all 8 atoms:
Be: 0.500 0.500 0.000  -0.06
Be: 0.250 0.750 0.500  -0.06
Mn: 0.173 0.625 0.250  1.80
Mn: 0.875 0.827 0.750  1.77
Mn: 0.375 0.423 0.750  1.74
Mn: 0.577 0.125 0.250  1.78
Ta: 0.750 0.250 0.500  -0.39
Ta: 0.000 0.000 0.000  -0.39

Properties
Final energy in eV for the cell shown: -64.269
Calculated formation energy in meV/atom: 446

(8)
A plane-wave DFT calculation with PBE was carried out for a relaxed structure of Gd2ReO5.

a = 8.640 Å, b = 8.640 Å, c = 5.776 Å
α = 90.00°, β = 90.00°, γ = 90.00°
Site moments in Bohr magnetons follow the coordinates.
Fractional coordinates of all 32 atoms:
Gd: 0.359 0.350 0.250  6.92
Gd: 0.150 0.859 0.250  6.92
Gd: 0.650 0.359 0.750  6.92
Gd: 0.641 0.650 0.250  6.92
Gd: 0.141 0.150 0.750  6.92
Gd: 0.859 0.850 0.750  6.92
Gd: 0.350 0.641 0.750  6.92
Gd: 0.850 0.141 0.250  6.92
Re: 0.000 0.500 0.147  0.00
Re: 0.500 0.000 0.853  0.00
Re: 0.000 0.500 0.540  0.00
Re: 0.500 0.000 0.460  0.00
O: 0.408 0.799 0.399  0.00
O: 0.094 0.300 0.095  0.00
O: 0.000 0.000 0.000  0.01
O: 0.300 0.906 0.905  0.00
O: 0.299 0.092 0.399  0.00
O: 0.594 0.800 0.905  0.00
O: 0.200 0.594 0.095  0.00
O: 0.500 0.500 0.500  0.01
O: 0.592 0.201 0.399  0.00
O: 0.406 0.200 0.905  0.00
O: 0.908 0.299 0.601  0.00
O: 0.201 0.408 0.601  0.00
O: 0.701 0.908 0.399  0.00
O: 0.906 0.700 0.095  0.00
O: 0.799 0.592 0.601  0.00
O: 0.700 0.094 0.905  0.00
O: 0.500 0.500 0.000  0.01
O: 0.000 0.000 0.500  0.01
O: 0.092 0.701 0.601  0.00
O: 0.800 0.406 0.095  0.00

Properties
Final energy in eV for the cell shown: -349.852
Formation energy (no corrections) in meV per atom: -2757.8

(9)
A plane-wave DFT calculation with PBE was carried out for a relaxed structure of Tb5Nd2In3.

a = 6.675 Å, b = 10.466 Å, c = 10.466 Å
α = 93.20°, β = 71.40°, γ = 71.40°
Fractional coordinates of all 20 atoms:
Tb: 0.423 0.237 0.917
Tb: 0.923 0.917 0.237
Tb: 0.750 0.500 0.500
Tb: 0.077 0.083 0.763
Tb: 0.250 0.500 0.500
Tb: 0.992 0.758 0.758
Tb: 0.492 0.758 0.758
Tb: 0.508 0.242 0.242
Tb: 0.577 0.763 0.083
Tb: 0.008 0.242 0.242
Nd: 0.353 0.852 0.442
Nd: 0.853 0.442 0.852
Nd: 0.647 0.148 0.558
Nd: 0.147 0.558 0.148
In: 0.135 0.219 0.511
In: 0.865 0.781 0.489
In: 0.365 0.489 0.781
In: 0.750 0.000 0.000
In: 0.250 0.000 0.000
In: 0.635 0.511 0.219

Properties
Final energy in eV for the cell shown: -83.563
Calculated formation energy in meV/atom: -88

(10)
A plane-wave DFT calculation with PBE was carried out for a relaxed structure of Tb8Bi3Te4.

a = 8.734 Å, b = 8.766 Å, c = 8.766 Å
α = 89.95°, β = 119.95°, γ = 119.95°
Fractional coordinates of all 15 atoms:
Bi: 0.500 0.000 0.500
Bi: 0.500 0.500 0.000
Bi: 0.500 0.500 0.500
Tb: 0.515 0.257 0.257
Tb: 0.500 0.250 0.750
Tb: 0.485 0.743 0.743
Tb: 0.998 0.251 0.251
Tb: 0.500 0.750 0.250
Tb: 0.000 0.746 0.254
Tb: 0.002 0.749 0.749
Tb: 0.000 0.254 0.746
Te: 0.000 0.000 0.000
Te: 0.500 0.000 0.000
Te: 0.000 0.000 0.500
Te: 0.000 0.500 0.000

Properties
Final energy in eV for the cell shown: -76.275
Formation energy (no corrections) in meV per atom: -1001.6

(11)
A plane-wave DFT calculation with PBE was carried out for a relaxed structure of Zr2InBr.

a = 4.363 Å, b = 4.363 Å, c = 10.904 Å
α = 78.46°, β = 78.46°, γ = 90.00°
Fractional coordinates of all 8 atoms:
In: 0.750 0.250 0.500
In: 0.000 0.000 0.000
Zr: 0.875 0.879 0.750
Zr: 0.375 0.371 0.750
Zr: 0.121 0.625 0.250
Zr: 0.629 0.125 0.250
Br: 0.500 0.500 0.000
Br: 0.250 0.750 0.500

Properties
ΔE to the lowest computed polymorph in meV/atom: 571
Final energy in eV for the cell shown: -41.796
Formation energy (no corrections) in meV per atom: 152.4

(12)
A plane-wave DFT calculation with PBE was carried out for a relaxed structure of HoCdIn.

a = 4.862 Å, b = 4.862 Å, c = 7.403 Å
α = 90.00°, β = 90.00°, γ = 120.00°
Fractional coordinates of all 6 atoms:
Ho: 0.000 0.000 0.737
Ho: 0.000 0.000 0.263
In: 0.667 0.333 0.946
In: 0.333 0.667 0.054
Cd: 0.333 0.667 0.475
Cd: 0.667 0.333 0.525

Properties
Final energy in eV for the cell shown: -18.686
Calculated formation energy in meV/atom: -370

(13)
A plane-wave DFT calculation with PBE was carried out for a relaxed structure of TaHg2Pt.

a = 3.009 Å, b = 3.009 Å, c = 8.239 Å
α = 90.00°, β = 90.00°, γ = 90.00°
Fractional coordinates of all 4 atoms:
Pt: 0.500 0.500 0.250
Hg: 0.000 0.000 0.492
Hg: 0.000 0.000 0.008
Ta: 0.500 0.500 0.750

Properties
ΔE to the lowest computed polymorph in meV/atom: 299
Final energy in eV for the cell shown: -17.437
Calculated formation energy in meV/atom: 265

(14)
A plane-wave DFT calculation with PBE was carried out for a relaxed structure of Tm2GaAu.

a = 4.426 Å, b = 5.824 Å, c = 7.633 Å
α = 109.82°, β = 90.00°, γ = 90.00°
Fractional coordinates of all 8 atoms:
Au: 0.250 0.345 0.207
Au: 0.750 0.655 0.793
Ga: 0.250 0.324 0.707
Ga: 0.750 0.676 0.293
Tm: 0.750 0.220 0.420
Tm: 0.750 0.210 0.933
Tm: 0.250 0.780 0.580
Tm: 0.250 0.790 0.067

Properties
Final energy in eV for the cell shown: -36.410
Calculated formation energy in meV/atom: -739

(15)
A plane-wave DFT calculation with PBE was carried out for a relaxed structure of Er2Tm3Zn3.

a = 3.555 Å, b = 5.094 Å, c = 11.031 Å
α = 103.35°, β = 99.27°, γ = 90.00°
Fractional coordinates of all 8 atoms:
Zn: 0.115 0.115 0.230
Zn: 0.000 0.500 0.000
Zn: 0.885 0.885 0.770
Tm: 0.618 0.618 0.237
Tm: 0.500 0.000 0.000
Tm: 0.382 0.382 0.763
Er: 0.271 0.771 0.543
Er: 0.729 0.229 0.457

Properties
Final energy in eV for the cell shown: -28.381
Calculated formation energy in meV/atom: -252

(16)
A plane-wave DFT calculation with PBE was carried out for a relaxed structure of In3Te3Br.

a = 4.391 Å, b = 11.794 Å, c = 20.478 Å
α = 90.00°, β = 90.00°, γ = 90.00°
Fractional coordinates of all 28 atoms:
In: 0.250 0.053 0.394
In: 0.250 0.181 0.511
In: 0.750 0.947 0.606
In: 0.250 0.553 0.106
In: 0.250 0.654 0.636
In: 0.750 0.447 0.894
In: 0.750 0.846 0.136
In: 0.750 0.346 0.364
In: 0.250 0.154 0.864
In: 0.250 0.681 0.989
In: 0.750 0.819 0.489
In: 0.750 0.319 0.011
Te: 0.250 0.237 0.300
Te: 0.750 0.407 0.141
Te: 0.250 0.093 0.641
Te: 0.250 0.159 0.004
Te: 0.250 0.593 0.859
Te: 0.750 0.907 0.359
Te: 0.250 0.737 0.200
Te: 0.250 0.659 0.496
Te: 0.750 0.263 0.800
Te: 0.750 0.341 0.504
Te: 0.750 0.763 0.700
Te: 0.750 0.841 0.996
Br: 0.750 0.054 0.170
Br: 0.250 0.946 0.830
Br: 0.250 0.446 0.670
Br: 0.750 0.554 0.330

Properties
Final energy in eV for the cell shown: -89.634
Formation energy (no corrections) in meV per atom: -442.2

(17)
A plane-wave DFT calculation with PBE was carried out for a relaxed structure of Ce5SnBi3.

a = 6.554 Å, b = 9.751 Å, c = 9.751 Å
α = 120.00°, β = 90.00°, γ = 90.00°
Site moments in Bohr magnetons follow the coordinates.
Fractional coordinates of all 18 atoms:
Ce: 0.000 0.667 0.333  1.14
Ce: 0.750 0.726 0.000  0.79
Ce: 0.250 0.000 0.274  0.79
Ce: 0.500 0.333 0.667  1.14
Ce: 0.750 0.000 0.726  0.79
Ce: 0.250 0.726 0.726  0.79
Ce: 0.750 0.274 0.274  0.79
Ce: 0.500 0.667 0.333  1.14
Ce: 0.000 0.333 0.667  1.14
Ce: 0.250 0.274 0.000  0.79
Bi: 0.750 0.000 0.380  -0.05
Bi: 0.750 0.620 0.620  -0.05
Bi: 0.250 0.620 0.000  -0.05
Bi: 0.250 0.380 0.380  -0.05
Bi: 0.750 0.380 0.000  -0.05
Bi: 0.250 0.000 0.620  -0.05
Sn: 0.000 0.000 0.000  -0.02
Sn: 0.500 0.000 0.000  -0.02

Properties
Final energy in eV for the cell shown: -103.179
Calculated formation energy in meV/atom: -697

(18)
A plane-wave DFT calculation with PBE was carried out for a relaxed structure of Sr2CuS2Cl2.

a = 8.272 Å, b = 8.272 Å, c = 8.272 Å
α = 147.06°, β = 147.06°, γ = 47.28°
Fractional coordinates of all 7 atoms:
Cl: 0.000 0.500 0.500
Cl: 0.500 0.000 0.500
S: 0.839 0.839 0.000
S: 0.161 0.161 0.000
Sr: 0.648 0.648 0.000
Sr: 0.352 0.352 0.000
Cu: 0.000 0.000 0.000

Properties
ΔE to the lowest computed polymorph in meV/atom: 222
Final energy in eV for the cell shown: -29.305
Formation energy (no corrections) in meV per atom: -1413.9

(19)
A plane-wave DFT calculation with PBE was carried out for a relaxed structure of Ag8Sn3.

a = 6.357 Å, b = 6.357 Å, c = 6.357 Å
α = 95.77°, β = 95.77°, γ = 95.77°
Fractional coordinates of all 11 atoms:
Ag: 0.080 0.944 0.309
Ag: 0.944 0.309 0.080
Ag: 0.641 0.641 0.641
Ag: 0.309 0.080 0.944
Ag: 0.920 0.056 0.691
Ag: 0.359 0.359 0.359
Ag: 0.056 0.691 0.920
Ag: 0.691 0.920 0.056
Sn: 0.500 0.500 0.000
Sn: 0.000 0.500 0.500
Sn: 0.500 0.000 0.500

Properties
ΔE to the lowest computed polymorph in meV/atom: 244
Final energy in eV for the cell shown: -31.999
Calculated formation energy in meV/atom: 256

(20)
A plane-wave DFT calculation with PBE was carried out for a relaxed structure of Nd4Sm5Th2.

a = 3.533 Å, b = 11.676 Å, c = 11.123 Å
α = 121.66°, β = 99.14°, γ = 90.00°
Fractional coordinates of all 11 atoms:
Sm: 0.179 0.470 0.358
Sm: 0.821 0.530 0.642
Sm: 0.821 0.112 0.642
Sm: 0.179 0.888 0.358
Sm: 0.500 0.000 0.000
Nd: 0.000 0.738 0.000
Nd: 0.411 0.411 0.822
Nd: 0.589 0.589 0.178
Nd: 0.000 0.262 0.000
Th: 0.799 0.799 0.599
Th: 0.201 0.201 0.401

Properties
ΔE to the lowest computed polymorph in meV/atom: 113
Final energy in eV for the cell shown: -54.740
Calculated formation energy in meV/atom: 251

Record order is preserved below.
Size of the total moment: 2.73 4.05 0.35 0.00 0.00 2.88 3.02 13.98 0.00 0.00 0.00 0.00 0.00 0.00 0.00 0.00 6.02 0.00 0.00 0.00 μB/f.u.